The following is a DFT calculation (GGA-PBE) of crystalline FeRePS2 at its relaxed geometry.

abc: 4.5382 4.5382 4.7478
angles: 90.00 90.00 90.00
With the nearest neighbours (Å) after each atom.
Element x y z (fractional)
Re  0.0000  0.0000  0.0000  4 S 2.27, 2 P 2.37
S  0.0000  0.5000  0.0000  2 Re 2.27
S  0.5000  0.0000  0.0000  2 Re 2.27
Fe  0.5000  0.5000  0.5000  4 P 3.21, 8 S 3.28
P  0.0000  0.0000  0.5000  2 Re 2.37

For the uncorrected formation energy, the calculation gives 1.184 eV per atom. The calculation puts the energy above the most stable polymorph in this dataset at 0.115 eV per atom. As for the space group: P4/mmm.

The following is a DFT calculation (GGA-PBE) of crystalline ThFeReP2 at its relaxed geometry.

abc: 4.0547 4.0547 5.7402
angles: 110.68 110.68 90.00
With the nearest neighbours (Å) after each atom.
Element x y z (fractional)
Th  0.0000  0.0000  0.0000  8 P 3.18, 4 Re 3.21, 4 Fe 3.21
Fe  0.7500  0.2500  0.5000  4 P 2.32
Re  0.2500  0.7500  0.5000  4 P 2.32
P  0.6372  0.6372  0.2744  2 Re 2.32, 2 Fe 2.32
P  0.3628  0.3628  0.7256  2 Fe 2.32, 2 Re 2.32

As for the formation energy: -0.786 eV/atom. As for the space group: I-4m2.

The following is a DFT calculation (GGA-PBE) of crystalline Ti2FeReP at its relaxed geometry.

abc: 4.7838 4.4018 4.7838
angles: 90.00 90.00 90.00
With the nearest neighbours (Å) after each atom.
Element x y z (fractional)
Re  0.0000  0.0000  0.0000  2 P 2.20, 4 Ti 2.39
Fe  0.5000  0.5000  0.5000  8 Ti 3.25, 4 P 3.38
P  0.0000  0.5000  0.0000  2 Re 2.20
Ti  0.0000  0.0000  0.5000  2 Re 2.39
Ti  0.5000  0.0000  0.0000  2 Re 2.39

As for the formation energy: 1.046 eV/atom. The calculation puts the energy above the most stable polymorph in this dataset at 0.789 eV per atom. As for the space group: P4/mmm.

The following is a DFT calculation (GGA-PBE) of crystalline Ti2FeReP at its relaxed geometry.

abc: 4.4975 3.9154 4.4975
angles: 90.00 90.00 90.00
With the nearest neighbours (Å) after each atom.
Element x y z (fractional)
Re  0.5000  0.5000  0.5000  8 Ti 2.98, 4 Fe 3.18
Fe  0.0000  0.5000  0.0000  2 P 1.96
P  0.0000  0.0000  0.0000  2 Fe 1.96
Ti  0.0000  0.0000  0.5000  2 P 2.25
Ti  0.5000  0.0000  0.0000  2 P 2.25

As for the formation energy: 0.257 eV/atom. The calculation puts the energy above the most stable polymorph in this dataset at 0.000 eV per atom. As for the space group: P4/mmm.

The following is a DFT calculation (GGA-PBE) of crystalline Ti2FeReP at its relaxed geometry.

abc: 4.7424 4.7424 4.3502
angles: 90.00 90.00 90.00
With the nearest neighbours (Å) after each atom.
Element x y z (fractional)
Re  0.0000  0.0000  0.0000  2 Fe 2.18, 4 Ti 2.37
Fe  0.0000  0.0000  0.5000  2 Re 2.18
P  0.5000  0.5000  0.5000  8 Ti 3.22, 4 Fe 3.35
Ti  0.0000  0.5000  0.0000  2 Re 2.37
Ti  0.5000  0.0000  0.0000  2 Re 2.37

As for the formation energy: 1.038 eV/atom. The calculation puts the energy above the most stable polymorph in this dataset at 0.781 eV per atom. As for the space group: P4/mmm.

The following is a DFT calculation (GGA-PBE) of crystalline TlFeReP2 at its relaxed geometry.

abc: 4.5266 5.6110 4.5266
angles: 90.00 90.00 90.00
With the nearest neighbours (Å) after each atom.
Element x y z (fractional)
Re  0.0000  0.0000  0.0000  4 P 2.26
Tl  0.0000  0.5000  0.0000  2 Re 2.81
Fe  0.5000  0.5000  0.5000  4 Tl 3.20
P  0.0000  0.0000  0.5000  2 Re 2.26
P  0.5000  0.0000  0.0000  2 Re 2.26

As for the formation energy: 0.943 eV/atom. As for the space group: P4/mmm.

The following is a DFT calculation (GGA-PBE) of crystalline UFeReP2 at its relaxed geometry.

abc: 3.9870 3.9870 5.5114
angles: 111.21 111.21 90.00
With the nearest neighbours (Å) after each atom.
Element x y z (fractional)
U  0.0000  0.0000  0.0000  8 P 3.05, 4 Fe 3.10, 4 Re 3.10
Fe  0.7500  0.2500  0.5000  4 P 2.32
Re  0.2500  0.7500  0.5000  4 P 2.32
P  0.6241  0.6241  0.2483  2 Re 2.32, 2 Fe 2.32, 1 P 2.35
P  0.3759  0.3759  0.7517  2 Fe 2.32, 2 Re 2.32, 1 P 2.35

As for the formation energy: -0.574 eV/atom. As for the space group: I-4m2.

The following is a DFT calculation (GGA-PBE) of crystalline FePRh at its relaxed geometry.

abc: 6.0919 6.0919 3.5971
angles: 90.00 90.00 120.00
With the nearest neighbours (Å) after each atom.
Element x y z (fractional)
Fe  0.3912  0.3912  0.5000  5 P 2.38-2.60
Fe  0.6088  0.0000  0.5000  5 P 2.38-2.60
Fe  0.0000  0.6088  0.5000  5 P 2.38-2.60
P  0.6667  0.3333  0.0000  3 Rh 2.26
P  0.3333  0.6667  0.0000  3 Rh 2.26
P  0.0000  0.0000  0.5000  3 Fe 2.38, 6 Rh 2.43
Rh  0.7319  0.7319  0.0000  4 P 2.26-2.43
Rh  0.2681  0.0000  0.0000  4 P 2.26-2.43
Rh  0.0000  0.2681  0.0000  4 P 2.26-2.43

As for the formation energy: -0.464 eV/atom. As for the space group: P-62m.

The following is a DFT calculation (GGA-PBE) of crystalline FePRh3 at its relaxed geometry.

abc: 4.3384 4.3384 4.3384
angles: 90.00 90.00 90.00
With the nearest neighbours (Å) after each atom.
Element x y z (fractional)
P  0.0000  0.0000  0.0000  6 Rh 2.17
Rh  0.0000  0.5000  0.0000  2 P 2.17
Rh  0.0000  0.0000  0.5000  2 P 2.17
Rh  0.5000  0.0000  0.0000  2 P 2.17
Fe  0.5000  0.5000  0.5000  12 Rh 3.07

As for the formation energy: 0.199 eV/atom. The calculation puts the energy above the most stable polymorph in this dataset at 0.000 eV per atom. As for the space group: Pm-3m.

The following is a DFT calculation (GGA-PBE) of crystalline FeP6Rh at its relaxed geometry.

abc: 6.8663 6.8663 6.8127
angles: 109.49 109.40 109.84
With the nearest neighbours (Å) after each atom.
Element x y z (fractional)
Fe  0.0000  0.5000  0.0000  6 P 2.22-2.27
Fe  0.5000  0.0000  0.0000  6 P 2.22-2.27
P  0.1464  0.6524  0.7988  2 P 2.26-2.29, 2 Fe 2.27
P  0.8536  0.3476  0.2012  2 P 2.26-2.29, 2 Fe 2.27
P  0.8609  0.6376  0.4985  2 P 2.26-2.29, 2 Rh 2.34
P  0.1391  0.3624  0.5015  2 P 2.26-2.29, 2 Rh 2.34
P  0.7888  0.1542  0.6564  1 Fe 2.22, 2 P 2.26-2.30, 1 Rh 2.38
P  0.2112  0.8458  0.3436  1 Fe 2.22, 2 P 2.26-2.30, 1 Rh 2.38
P  0.5022  0.8676  0.6564  1 Fe 2.22, 2 P 2.26-2.30, 1 Rh 2.38
P  0.4978  0.1324  0.3436  1 Fe 2.22, 2 P 2.26-2.30, 1 Rh 2.38
P  0.6346  0.7886  0.1319  1 Fe 2.24, 2 P 2.27-2.30, 1 Rh 2.37
P  0.3654  0.2114  0.8681  1 Fe 2.24, 2 P 2.27-2.30, 1 Rh 2.37
P  0.6567  0.5027  0.8681  1 Fe 2.24, 2 P 2.27-2.30, 1 Rh 2.37
P  0.3433  0.4973  0.1319  1 Fe 2.24, 2 P 2.27-2.30, 1 Rh 2.37
Rh  0.0000  0.0000  0.5000  6 P 2.34-2.38
Rh  0.5000  0.5000  0.5000  6 P 2.34-2.38

As for the formation energy: -0.475 eV/atom. As for the space group: C2/m.

The following is a DFT calculation (GGA-PBE) of crystalline FePRh at its relaxed geometry.

abc: 2.7678 2.7678 5.6025
angles: 90.00 90.00 120.00
With the nearest neighbours (Å) after each atom.
Element x y z (fractional)
Fe  0.0000  0.0000  0.0386  3 P 2.23
P  0.6667  0.3333  0.3159  3 Fe 2.23, 3 Rh 2.44
Rh  0.3333  0.6667  0.6455  3 P 2.44, 3 Fe 2.72

As for the formation energy: -0.134 eV/atom. As for the space group: P3m1.

The following is a DFT calculation (GGA-PBE) of crystalline FeP2Rh at its relaxed geometry.

abc: 3.8631 3.8631 4.9349
angles: 78.14 78.14 43.45
With the nearest neighbours (Å) after each atom.
Element x y z (fractional)
Fe  0.2500  0.2500  0.2500  6 P 2.33
P  0.9939  0.9939  0.0301  3 Fe 2.33, 3 Rh 2.46-2.49
P  0.5061  0.5061  0.4699  3 Fe 2.33, 3 Rh 2.46-2.49
Rh  0.7500  0.7500  0.7500  6 P 2.46-2.49

As for the formation energy: -0.273 eV/atom. The calculation puts the energy above the most stable polymorph in this dataset at 0.105 eV per atom. As for the space group: C2/m.